Entry 1:
The following is a DFT calculation (GGA-PBE) of a relaxed structure of SmAl3Pt. Values from VASP.

## Properties
Distance to the lowest polymorph of the same formula: 0.000 eV/f.u.
Symmetry: Pnma

Quantum ESPRESSO input file:
```
&SYSTEM
  ibrav = 0, nat = 20, ntyp = 3
/
ATOMIC_SPECIES
Sm 150.36 Sm.upf
Al 26.98 Al.upf
Pt 195.08 Pt.upf
ATOMIC_POSITIONS crystal
Sm 0.750 0.813 0.015
Sm 0.250 0.687 0.515
Sm 0.750 0.313 0.485
Sm 0.250 0.187 0.985
Al 0.250 0.561 0.085
Al 0.750 0.439 0.915
Al 0.250 0.061 0.415
Al 0.750 0.939 0.585
Al 0.250 0.384 0.701
Al 0.750 0.116 0.201
Al 0.250 0.884 0.799
Al 0.750 0.642 0.719
Al 0.250 0.358 0.281
Al 0.750 0.142 0.781
Al 0.750 0.616 0.299
Al 0.250 0.858 0.219
Pt 0.250 0.096 0.646
Pt 0.250 0.596 0.854
Pt 0.750 0.404 0.146
Pt 0.750 0.904 0.354
CELL_PARAMETERS angstrom
-2.654 0.523 -3.253
-0.798 -8.303 -0.683
-8.514 0.244 6.985
```

Entry 2:
The following is a DFT calculation (GGA-PBE) of a relaxed structure of V2MoW3. Values from VASP.

## Properties
Symmetry: C2/m

Quantum ESPRESSO input file:
```
&SYSTEM
  ibrav = 0, nat = 12, ntyp = 3
/
ATOMIC_SPECIES
V 50.94 V.upf
Mo 95.94 Mo.upf
W 183.84 W.upf
ATOMIC_POSITIONS crystal
V 0.250 0.622 0.501
V 0.750 0.378 0.499
V 0.916 0.792 0.831
V 0.084 0.208 0.169
Mo 0.418 0.039 0.836
Mo 0.582 0.961 0.164
W 0.248 0.127 0.496
W 0.082 0.708 0.165
W 0.413 0.543 0.826
W 0.752 0.873 0.504
W 0.587 0.457 0.174
W 0.918 0.292 0.835
CELL_PARAMETERS angstrom
3.126 0.000 0.000
0.000 8.722 -1.188
-1.563 -3.443 7.167
```

Which VASP energy belongs to each record? In order, -5.2266, -11.4051 eV/atom.